Entry 1:
InPPt2 | PBE-GGA | relaxed

Structure (POSCAR):
```
InPPt2
1.0
4.453 0.000 0.000
0.000 3.707 0.000
-1.234 0.000 4.461
In P Pt
1 1 2
direct
0.000 0.000 0.000 In
0.500 0.000 0.500 P
0.296 0.500 0.709 Pt
0.704 0.500 0.291 Pt
```

Output
As for the calculated volume: 73.6 Å³/f.u. The calculation puts the energy relative to the elements at -0.18 eV/atom.



Entry 2:
NaNpSn2Se4 | PBE-GGA | relaxed

Structure (POSCAR):
```
NaNpSn2Se4
1.0
7.297 0.000 0.000
0.000 4.237 0.000
-2.377 0.000 7.074
Na Np Sn Se
1 1 2 4
direct
0.000 0.000 0.000 Na
0.500 0.500 0.000 Np
0.000 0.500 0.500 Sn
0.500 0.000 0.500 Sn
0.259 0.500 0.244 Se
0.264 0.000 0.764 Se
0.736 0.000 0.236 Se
0.741 0.500 0.756 Se
```

Output
As for the calculated volume: 218.7 Å³/f.u. The formation energy without anion corrections is -0.754 eV/atom.